(1)
A geometry-optimized Ti3HgH structure. Source: the Alexandria database, functional PBE.

- ΔE to the lowest computed polymorph (meV per atom) = 0
- crystal system = cubic
- calculated density (g/cm³) = 8.1

```
Ti3HgH
1.0
4.144 0.000 0.000
0.000 4.144 0.000
0.000 0.000 4.144
Ti Hg H
3 1 1
Cartesian
0.000 0.000 2.072
0.000 2.072 0.000
2.072 0.000 0.000
2.072 2.072 2.072
0.000 0.000 0.000
```

***

(2)
A geometry-optimized Ti3HgH structure. Source: the Alexandria database, functional PBE.

- ΔE to the lowest computed polymorph (meV per atom) = 133
- crystal system = monoclinic
- calculated density (g/cm³) = 7.4

```
Ti3HgH
1.0
5.652 -4.604 0.000
5.652 4.604 0.000
-1.701 0.000 5.986
Ti Hg H
12 4 4
Cartesian
3.044 3.010 2.438
2.188 3.032 5.540
3.051 0.029 2.472
2.201 -0.029 5.465
6.564 3.032 3.438
7.408 3.010 0.554
2.194 -3.010 5.431
3.039 -3.032 2.547
7.402 0.029 0.521
6.551 -0.029 3.514
7.414 -3.032 0.445
6.558 -3.010 3.547
4.376 4.591 4.489
4.376 1.497 4.489
5.226 -1.497 1.496
5.226 -4.591 1.496
3.578 1.515 1.031
6.874 1.515 1.962
2.728 -1.515 4.024
6.024 -1.515 4.955
```